(1)
Ga2S3 | PBE | optimized geometry

The space group is P4mm (No. 99) and the conventional cell measures 4.126, 4.126 and 6.411 Å, with angles of 90.00, 90.00 and 90.00 degrees. The inequivalent atoms are Ga at (0.000, 0.000, 0.000), Ga at (0.500, 0.500, 0.447), S at (0.000, 0.500, 0.641) and S at (0.500, 0.500, 0.103).

***

(2)
Ga2S3 | PBE | optimized geometry

The space group is C2/m (No. 12) and the conventional cell measures 13.548, 3.751 and 9.871 Å, with angles of 90.00, 97.92 and 90.00 degrees. The inequivalent atoms are Ga at (0.110, 0.000, 0.337), Ga at (0.140, 0.500, 0.712), S at (0.053, 0.000, 0.779), S at (0.137, 0.500, 0.475) and S at (0.207, 0.000, 0.172).

***

(3)
Ga2S3 | PBE | optimized geometry

The space group is Pm-3m (No. 221) and the conventional cell measures 4.774, 4.774 and 4.774 Å, with angles of 90.00, 90.00 and 90.00 degrees. The inequivalent atoms are Ga at (0.000, 0.000, 0.000), Ga at (0.500, 0.500, 0.500) and S at (0.000, 0.000, 0.500).

***

(4)
GaS | PBE | optimized geometry

The space group is F-43m (No. 216) and the conventional cell measures 5.901, 5.901 and 5.901 Å, with angles of 90.00, 90.00 and 90.00 degrees. The inequivalent atoms are Ga at (0.000, 0.000, 0.000) and S at (0.250, 0.250, 0.250).

***

(5)
Ga2S3 | PBE | optimized geometry

The space group is Cc (No. 9) and the conventional cell measures 6.480, 11.400 and 6.427 Å, with angles of 90.00, 108.62 and 90.00 degrees. The inequivalent atoms are Ga at (0.000, 0.084, 0.000), Ga at (0.033, 0.253, 0.504), S at (0.139, 0.412, 0.365), S at (0.149, 0.252, 0.888) and S at (0.154, 0.079, 0.383).

***

(6)
GaS | PBE | optimized geometry

The space group is P4/m (No. 83) and the conventional cell measures 11.378, 11.378 and 3.682 Å, with angles of 90.00, 90.00 and 90.00 degrees. The inequivalent atoms are Ga at (0.073, 0.263, 0.000), Ga at (0.255, 0.659, 0.500), S at (0.124, 0.372, 0.500) and S at (0.124, 0.775, 0.000).

***

(7)
GaS | PBE | optimized geometry

The space group is I4/mmm (No. 139) and the conventional cell measures 3.677, 3.677 and 5.457 Å, with angles of 90.00, 90.00 and 90.00 degrees. The inequivalent atoms are Ga at (0.000, 0.000, 0.000) and S at (0.000, 0.000, 0.500).

***

(8)
Ga2S3 | PBE | optimized geometry

The space group is C2/m (No. 12) and the conventional cell measures 12.588, 3.570 and 10.781 Å, with angles of 90.00, 94.87 and 90.00 degrees. The inequivalent atoms are Ga at (0.079, 0.000, 0.278), Ga at (0.160, 0.500, 0.902), S at (0.107, 0.000, 0.766), S at (0.137, 0.500, 0.384) and S at (0.152, 0.000, 0.072).

***

(9)
GaS | PBE | optimized geometry

The space group is P4_2/mnm (No. 136) and the conventional cell measures 5.884, 5.884 and 4.856 Å, with angles of 90.00, 90.00 and 90.00 degrees. The inequivalent atoms are Ga at (0.209, 0.209, 0.000) and S at (0.218, 0.782, 0.000).

***

(10)
Ga2S3 | PBE | optimized geometry

The space group is P3m1 (No. 156) and the conventional cell measures 3.6072, 3.6072 and 23.0697 Å, with angles of 90.00, 90.00 and 120.00 degrees. The inequivalent atoms are Ga at (0.0000, 0.0000, 0.0000), Ga at (0.0000, 0.0000, 0.2992), Ga at (0.0000, 0.0000, 0.6049), Ga at (0.3333, 0.6667, 0.8389), S at (0.0000, 0.0000, 0.2030), S at (0.0000, 0.0000, 0.5091), S at (0.0000, 0.0000, 0.9029), S at (0.3333, 0.6667, 0.0457), S at (0.3333, 0.6667, 0.3455) and S at (0.3333, 0.6667, 0.6517).

***

(11)
Ga2S3 | PBE | optimized geometry

The space group is Amm2 (No. 38) and the conventional cell measures 3.611, 6.737 and 10.896 Å, with angles of 90.00, 90.00 and 90.00 degrees. The inequivalent atoms are Ga at (0.000, 0.000, 0.000), Ga at (0.500, 0.000, 0.352), S at (0.000, 0.238, 0.363) and S at (0.500, 0.000, 0.124).

***

(12)
GaS | PBE | optimized geometry

The space group is I4/m (No. 87) and the conventional cell measures 10.579, 10.579 and 3.513 Å, with angles of 90.00, 90.00 and 90.00 degrees. The inequivalent atoms are Ga at (0.158, 0.689, 0.000) and S at (0.019, 0.737, 0.500).

***

Computed E_tot (eV/atom) in order:
-3.75; -4.31; -3.49; -3.79; -4.35; -4.00; -3.95; -4.24; -3.94; -4.00; -4.20; -3.99
Computed V (Å³ per cell) in order:
109; 497; 109; 205; 450; 477; 74; 483; 168; 260; 265; 393
Computed energy relative to the elements, uncorrected (eV per atom) in order:
-0.06; -0.63; 0.20; -0.21; -0.66; -0.42; -0.37; -0.55; -0.37; -0.32; -0.51; -0.41